Record 1
A plane-wave DFT calculation with PBE was carried out for an optimized crystal structure of LiIrRu.

Cell and atoms, written as POSCAR:
```
LiIrRu
1.0
3.647 0.000 0.000
0.000 3.647 0.000
0.000 0.000 6.358
Ir Li Ru
2 2 2
Direct
0.500 0.000 0.199 Ir
0.000 0.500 0.801 Ir
0.000 0.500 0.189 Li
0.500 0.000 0.811 Li
0.000 0.000 0.500 Ru
0.500 0.500 0.500 Ru
```

Output
Offset from the most stable computed form (meV per atom): 349
Crystal system: tetragonal

***

Record 2
A plane-wave DFT calculation with PBE was carried out for an optimized crystal structure of BaCa2Ni.

Cell and atoms, written as POSCAR:
```
BaCa2Ni
1.0
8.456 1.466 -0.232
5.382 6.685 0.232
-6.373 -5.003 2.840
Ca Ba Ni
2 1 1
Direct
0.004 0.004 0.000 Ca
0.653 0.153 0.500 Ca
0.337 0.837 0.500 Ba
0.506 0.506 0.000 Ni
```

Output
Offset from the most stable computed form (meV per atom): 60
Crystal system: orthorhombic

***

Record 3
A plane-wave DFT calculation with PBE was carried out for an optimized crystal structure of HfCSe3.

Cell and atoms, written as POSCAR:
```
HfCSe3
1.0
4.403 0.000 0.000
0.000 4.403 0.000
0.000 0.000 4.403
Se C Hf
3 1 1
Direct
0.500 0.000 0.000 Se
0.000 0.500 0.000 Se
0.000 0.000 0.500 Se
0.000 0.000 0.000 C
0.500 0.500 0.500 Hf
```

Output
Offset from the most stable computed form (meV per atom): 0
Crystal system: cubic
ΔE_f (raw) (eV/atom): 0.5781

***

Record 4
A plane-wave DFT calculation with PBE was carried out for an optimized crystal structure of TbHo6Tm3Th2.

Cell and atoms, written as POSCAR:
```
TbHo6Tm3Th2
1.0
6.120 0.002 -0.008
-3.056 5.302 -0.008
-1.007 -1.743 11.509
Tm Ho Tb Th
3 6 1 2
Direct
0.500 0.500 0.500 Tm
0.834 0.166 0.500 Tm
0.166 0.834 0.500 Tm
0.084 0.421 0.250 Ho
0.579 0.916 0.750 Ho
0.747 0.747 0.250 Ho
0.916 0.579 0.750 Ho
0.421 0.084 0.250 Ho
0.253 0.253 0.750 Ho
0.000 0.000 0.000 Tb
0.333 0.667 0.000 Th
0.667 0.333 0.000 Th
```

Output
Total DFT energy (no corrections) (eV/atom): -5.000
Crystal system: monoclinic